Here is a relaxed structure of PmU2N4 from Alexandria. Energies are from PBE.

a = 5.952 Å, b = 5.952 Å, c = 10.649 Å
α = 90.00°, β = 90.00°, γ = 146.43°
Atoms (fractional coordinates):
Pm: 0.108 0.892 0.750
Pm: 0.892 0.108 0.250
U: 0.369 0.631 0.570
U: 0.369 0.631 0.930
U: 0.631 0.369 0.070
U: 0.631 0.369 0.430
N: 0.000 0.000 0.000
N: 0.000 0.000 0.500
N: 0.270 0.730 0.104
N: 0.270 0.730 0.396
N: 0.457 0.543 0.750
N: 0.543 0.457 0.250
N: 0.730 0.270 0.604
N: 0.730 0.270 0.896

Calculated values
E_form (uncorrected), eV/atom: -1.38
Total magnetization, μB/f.u.: 2.55
Total energy, eV per atom: -10.043
Space group: Cmcm (63)